NaCdNiF6 | Alexandria via LeMat-Bulk | PBE with a Hubbard U | optimized geometry; size of the total moment = 3.14 μB per formula unit; crystal system = trigonal; raw total energy = -3.9057 eV per atom; calculated volume = 14.077 Å³/atom
1.0
5.589 0.000 0.000
-2.795 4.840 0.000
0.000 0.000 9.366
Na Cd Ni F
2 2 2 12
Direct
0.000 0.000 0.000
0.000 0.000 0.500
0.333 0.667 0.250
0.667 0.333 0.750
0.333 0.667 0.750
0.667 0.333 0.250
0.046 0.381 0.636
0.046 0.665 0.864
0.335 0.381 0.864
0.335 0.954 0.636
0.381 0.046 0.136
0.381 0.335 0.364
0.619 0.665 0.636
0.619 0.954 0.864
0.665 0.046 0.364
0.665 0.619 0.136
0.954 0.335 0.136
0.954 0.619 0.364